[1]
Density functional theory data (GGA-PBE) for a relaxed LaReNi2 crystal.

Lattice parameters (Å, degrees): 4.1990 4.1990 15.1364 90.00 90.00 120.00
Space group R-3m (No. 166, hexagonal axes)
One atom of each set of equivalent atoms:
La (0.0000, 0.0000, 0.0000)
Re (0.0000, 0.0000, 0.5000)
Ni (0.0000, 0.0000, 0.1917)

[2]
Density functional theory data (GGA-PBE) for a relaxed LaReNi2 crystal.

Lattice parameters (Å, degrees): 7.294 4.213 5.639 90.00 115.87 90.00
Space group Cm (No. 8)
One atom of each set of equivalent atoms:
La (0.000, 0.000, 0.000)
Re (0.184, 0.000, 0.550)
Ni (0.313, 0.500, 0.437)
Ni (0.499, 0.000, 0.495)

[3]
Density functional theory data (GGA-PBE) for a relaxed LaReNi2 crystal.

Lattice parameters (Å, degrees): 6.424 6.424 6.424 90.00 90.00 90.00
Space group F-43m (No. 216)
One atom of each set of equivalent atoms:
La (0.000, 0.000, 0.000)
Re (0.250, 0.250, 0.750)
Ni (0.000, 0.000, 0.500)
Ni (0.250, 0.250, 0.250)

[4]
Density functional theory data (GGA-PBE) for a relaxed LaRe4Ni crystal.

Lattice parameters (Å, degrees): 7.577 7.577 7.577 90.00 90.00 90.00
Space group F-43m (No. 216)
One atom of each set of equivalent atoms:
La (0.000, 0.000, 0.000)
Re (0.124, 0.124, 0.376)
Ni (0.250, 0.250, 0.750)

[5]
Density functional theory data (GGA-PBE) for a relaxed LaReNi crystal.

Lattice parameters (Å, degrees): 4.1020 4.1020 4.4107 90.00 90.00 120.00
Space group P-6m2 (No. 187)
One atom of each set of equivalent atoms:
La (0.0000, 0.0000, 0.0000)
Re (0.3333, 0.6667, 0.5000)
Ni (0.6667, 0.3333, 0.5000)

[6]
Density functional theory data (GGA-PBE) for a relaxed LaReNi2 crystal.

Lattice parameters (Å, degrees): 2.8975 2.8975 27.3168 90.00 90.00 120.00
Space group R-3m (No. 166, hexagonal axes)
One atom of each set of equivalent atoms:
La (0.0000, 0.0000, 0.0000)
Re (0.0000, 0.0000, 0.5000)
Ni (0.0000, 0.0000, 0.2372)

no.,magnetic moment (μB/atom),formation enthalpy at 0 K (eV per formula unit),ρ (Mg/m³)
1,0.13,-0.230,9.5
2,0.00,-0.180,9.4
3,0.50,2.206,11.1
4,0.02,3.035,14.4
5,0.00,0.634,9.9
6,0.15,2.271,11.1